# 1
5
Lattice="4.938 0.000 0.000 0.000 4.938 0.000 0.000 0.000 5.246" Properties=species:S:1:pos:R:3 comment="TaInOs2Br | the Alexandria database | PBE | optimized geometry" total_energy_ev_per_cell=-25.132 m_tot_mub_per_atom=0.3400 raw_formation_energy_ev_per_atom=2.718 sg="P4/mmm, No. 123" pbc="T T T"
Ta 0.000 0.000 0.000
In 0.000 0.000 2.623
Os 0.000 2.469 2.623
Os 2.469 0.000 2.623
Br 2.469 2.469 0.000

# 2
5
Lattice="4.525 0.000 0.000 0.000 4.525 0.000 0.000 0.000 4.523" Properties=species:S:1:pos:R:3 comment="BeRe2OsBr | the Alexandria database | PBE | optimized geometry" total_energy_ev_per_cell=-28.424 m_tot_mub_per_atom=0.2001 raw_formation_energy_ev_per_atom=2.620 sg="P4/mmm, No. 123" pbc="T T T"
Be 0.000 0.000 0.000
Re 0.000 2.262 2.262
Re 2.262 0.000 2.262
Os 2.262 2.262 0.000
Br 2.262 2.262 2.262

# 3
3
Lattice="4.761 0.000 0.000 -2.380 4.123 0.000 0.000 0.000 3.087" Properties=species:S:1:pos:R:3 comment="PaTiGa | the Alexandria database | PBE | optimized geometry" total_energy_ev_per_cell=-20.680 m_tot_mub_per_atom=0.0000 formation_energy_ev_per_atom=-0.09 relative_energy_mev_per_atom=0 sg="P-6m2, No. 187" pbc="T T T"
Pa 0.000 0.000 0.000
Ti 2.380 1.374 1.543
Ga 0.000 2.749 1.543

# 4
5
Lattice="5.549 0.000 0.000 0.000 5.549 0.000 0.000 0.000 6.164" Properties=species:S:1:pos:R:3 comment="LaSn2SbS | the Alexandria database | PBE | optimized geometry" total_energy_ev_per_cell=-19.687 m_tot_mub_per_atom=0.0000 raw_formation_energy_ev_per_atom=0.299 sg="P4/mmm, No. 123" pbc="T T T"
La 0.000 0.000 0.000
Sn 0.000 2.774 3.082
Sn 2.774 0.000 3.082
Sb 0.000 0.000 3.082
S 2.774 2.774 0.000

# 5
5
Lattice="-1.584 1.584 11.429 1.584 -1.584 11.429 1.584 1.584 -11.429" Properties=species:S:1:pos:R:3 comment="CuHg4 | the Alexandria database | PBE | optimized geometry" total_energy_ev_per_cell=-4.561 m_tot_mub_per_atom=0.0000 formation_energy_ev_per_atom=0.15 sg="I4/mmm, No. 139" pbc="T T T"
Cu 0.000 0.000 0.000
Hg 0.000 0.000 4.382
Hg 0.000 0.000 9.698
Hg 0.000 0.000 13.161
Hg 0.000 0.000 18.476

# 6
4
Lattice="3.518 0.000 0.000 0.000 3.518 0.000 0.000 0.000 8.389" Properties=species:S:1:pos:R:3 comment="Gd2OsI | the Alexandria database | PBE | optimized geometry" total_energy_ev_per_cell=-42.892 m_tot_mub_per_atom=3.5105 relative_energy_mev_per_atom=41 raw_formation_energy_ev_per_atom=-0.488 sg="P4/mmm, No. 123" pbc="T T T"
Gd 0.000 0.000 1.661
Gd 0.000 0.000 6.728
Os 1.759 1.759 0.000
I 1.759 1.759 4.195